(1)
A relaxed structure of Er3ScTc. Source: Alexandria via LeMat-Bulk, functional PBE.

Computed properties:
The value obtained for the calculated volume is 26.015 A^3/atom. The energy above the lowest structure with this stoichiometry comes out at 0 meV/atom. As for the energy of formation from the pure elements: -59 meV per atom. For the total DFT energy (no corrections), the calculation gives -6.136 eV per atom.

a b c (Å): 3.5661 10.6803 13.6609
angles (deg): 90.00 90.00 90.00
With the nearest neighbours (Å) after each atom.
Element x y z (fractional)
1 Er 0.2500 0.0462 0.4015  3 Tc 2.93-2.98
2 Er 0.7500 0.4538 0.9015  3 Tc 2.93-2.98
3 Er 0.7500 0.9538 0.5985  3 Tc 2.93-2.98
4 Er 0.2500 0.5462 0.0985  3 Tc 2.93-2.98
5 Er 0.2500 0.3106 0.2570  2 Tc 2.90
6 Er 0.7500 0.1894 0.7570  2 Tc 2.90
7 Er 0.7500 0.6894 0.7430  2 Tc 2.90
8 Er 0.2500 0.8106 0.2430  2 Tc 2.90
9 Er 0.2500 0.4279 0.6681  1 Tc 2.88
10 Er 0.7500 0.0721 0.1681  1 Tc 2.88
11 Er 0.7500 0.5721 0.3319  1 Tc 2.88
12 Er 0.2500 0.9279 0.8319  1 Tc 2.88
13 Sc 0.2500 0.1916 0.9846  2 Tc 2.69
14 Sc 0.7500 0.3084 0.4846  2 Tc 2.69
15 Sc 0.7500 0.8084 0.0154  2 Tc 2.69
16 Sc 0.2500 0.6916 0.5154  2 Tc 2.69
17 Tc 0.2500 0.1771 0.5897  2 Sc 2.69, 6 Er 2.88-2.98
18 Tc 0.7500 0.3229 0.0897  2 Sc 2.69, 6 Er 2.88-2.98
19 Tc 0.7500 0.8229 0.4103  2 Sc 2.69, 6 Er 2.88-2.98
20 Tc 0.2500 0.6771 0.9103  2 Sc 2.69, 6 Er 2.88-2.98

(2)
A relaxed structure of Er3ScTc. Source: Alexandria via LeMat-Bulk, functional PBE.

Computed properties:
The value obtained for the calculated volume is 27.369 A^3/atom. The energy above the lowest structure with this stoichiometry comes out at 28 meV/atom. As for the energy of formation from the pure elements: -31 meV per atom. For the total DFT energy (no corrections), the calculation gives -6.108 eV per atom.

a b c (Å): 7.0953 7.0969 7.1006
angles (deg): 108.34 114.50 105.64
With the nearest neighbours (Å) after each atom.
Element x y z (fractional)
1 Er 0.8469 0.0480 0.2851  1 Tc 2.69
2 Er 0.2368 0.4381 0.2847  1 Tc 2.69
3 Er 0.7632 0.5619 0.7153  1 Tc 2.69
4 Er 0.7089 0.4450 0.1538  1 Tc 2.67
5 Er 0.1531 0.9520 0.7149  1 Tc 2.69
6 Er 0.2911 0.5550 0.8462  1 Tc 2.67
7 Sc 0.6925 0.0545 0.7469  1 Tc 2.54
8 Sc 0.3075 0.9455 0.2531  1 Tc 2.54
9 Tc 0.6228 0.7560 0.3793  1 Sc 2.54, 3 Er 2.67-2.69
10 Tc 0.3772 0.2440 0.6207  1 Sc 2.54, 3 Er 2.67-2.69

(3)
A relaxed structure of Er2Sc3Tc2. Source: Alexandria via LeMat-Bulk, functional PBE.

Computed properties:
The value obtained for the calculated volume is 22.544 A^3/atom. As for the energy of formation from the pure elements: -165 meV per atom. For the total DFT energy (no corrections), the calculation gives -7.144 eV per atom.

a b c (Å): 4.0353 5.7006 7.9116
angles (deg): 110.52 90.00 110.73
With the nearest neighbours (Å) after each atom.
Element x y z (fractional)
1 Er 0.8452 0.6905 0.1954  3 Tc 2.90-3.21
2 Er 0.1548 0.3095 0.8046  3 Tc 2.90-3.21
3 Sc 0.5000 0.0000 0.0000  4 Tc 2.74
4 Sc 0.6307 0.2614 0.4282  3 Tc 2.72-2.92
5 Sc 0.3693 0.7386 0.5718  3 Tc 2.72-2.92
6 Tc 0.8459 0.6917 0.7896  5 Sc 2.72-2.92, 2 Er 2.90
7 Tc 0.1541 0.3083 0.2104  5 Sc 2.72-2.92, 2 Er 2.90

(4)
A relaxed structure of ErScTc4. Source: Alexandria via LeMat-Bulk, functional PBE.

Computed properties:
The value obtained for the calculated volume is 17.749 A^3/atom. As for the energy of formation from the pure elements: -216 meV per atom. For the total DFT energy (no corrections), the calculation gives -8.942 eV per atom.

a b c (Å): 5.3204 5.3204 5.3204
angles (deg): 60.00 60.00 60.00
With the nearest neighbours (Å) after each atom.
Element x y z (fractional)
1 Sc 0.0000 0.0000 0.0000  12 Tc 3.12, 4 Er 3.26
2 Tc 0.6252 0.6252 0.1244  6 Tc 2.66
3 Tc 0.6252 0.1244 0.6252  6 Tc 2.66
4 Tc 0.6252 0.6252 0.6252  6 Tc 2.66
5 Tc 0.1244 0.6252 0.6252  6 Tc 2.66
6 Er 0.2500 0.2500 0.2500  12 Tc 3.12, 4 Sc 3.26

(5)
A relaxed structure of Er3Sc2Tc2. Source: Alexandria via LeMat-Bulk, functional PBE.

Computed properties:
The value obtained for the calculated volume is 23.475 A^3/atom. As for the energy of formation from the pure elements: -109 meV per atom. For the total DFT energy (no corrections), the calculation gives -6.835 eV per atom.

a b c (Å): 3.5794 6.4102 8.2048
angles (deg): 106.23 102.61 106.23
With the nearest neighbours (Å) after each atom.
Element x y z (fractional)
1 Er 0.5000 0.0000 0.0000  4 Tc 2.90
2 Er 0.1803 0.8040 0.5574  3 Tc 2.84-2.94
3 Er 0.8197 0.1960 0.4426  3 Tc 2.84-2.94
4 Sc 0.6691 0.5049 0.8334  3 Tc 2.67-2.97
5 Sc 0.3309 0.4951 0.1666  3 Tc 2.67-2.97
6 Tc 0.0227 0.8328 0.2116  3 Sc 2.67-2.97, 5 Er 2.84-2.94
7 Tc 0.9773 0.1672 0.7884  3 Sc 2.67-2.97, 5 Er 2.84-2.94

(6)
A relaxed structure of ErSc2Tc. Source: Alexandria via LeMat-Bulk, functional PBE.

Computed properties:
The value obtained for the calculated volume is 22.573 A^3/atom. The energy above the lowest structure with this stoichiometry comes out at 74 meV/atom. As for the energy of formation from the pure elements: -96 meV per atom. For the total DFT energy (no corrections), the calculation gives -6.994 eV per atom.

a b c (Å): 3.3059 3.3059 8.2618
angles (deg): 90.00 90.00 90.00
With the nearest neighbours (Å) after each atom.
Element x y z (fractional)
1 Sc 0.0000 0.0000 0.8167  4 Tc 2.79, 1 Sc 3.03
2 Sc 0.0000 0.0000 0.1833  4 Tc 2.79, 1 Sc 3.03
3 Tc 0.5000 0.5000 0.0000  8 Sc 2.79
4 Er 0.5000 0.5000 0.5000  4 Er 3.31, 8 Sc 3.51

(7)
A relaxed structure of ErScTc. Source: Alexandria via LeMat-Bulk, functional PBE.

Computed properties:
The value obtained for the calculated volume is 22.041 A^3/atom. The energy above the lowest structure with this stoichiometry comes out at 0 meV/atom. As for the energy of formation from the pure elements: -138 meV per atom. For the total DFT energy (no corrections), the calculation gives -7.225 eV per atom.

a b c (Å): 3.3793 3.3793 6.2641
angles (deg): 105.65 105.65 90.00
With the nearest neighbours (Å) after each atom.
Element x y z (fractional)
1 Sc 0.2966 0.2966 0.5933  4 Tc 2.78, 1 Er 3.10
2 Tc 0.6743 0.6743 0.3487  4 Sc 2.78, 4 Er 2.92
3 Er 0.0290 0.0290 0.0581  4 Tc 2.92, 1 Sc 3.10

(8)
A relaxed structure of ErSc2Tc9. Source: Alexandria via LeMat-Bulk, functional PBE.

Computed properties:
The value obtained for the calculated volume is 17.215 A^3/atom. As for the energy of formation from the pure elements: -122 meV per atom. For the total DFT energy (no corrections), the calculation gives -9.332 eV per atom.

a b c (Å): 5.2554 5.2554 9.1543
angles (deg): 73.32 73.32 60.00
With the nearest neighbours (Å) after each atom.
Element x y z (fractional)
1 Er 0.0000 0.0000 0.0000  6 Tc 3.04
2 Sc 0.8560 0.8560 0.4320  12 Tc 3.04-3.09, 3 Sc 3.25
3 Sc 0.1440 0.1440 0.5680  12 Tc 3.04-3.09, 3 Sc 3.25
4 Tc 0.6629 0.6629 0.0112  6 Tc 2.63-2.74
5 Tc 0.3371 0.3371 0.9888  6 Tc 2.63-2.74
6 Tc 0.5000 0.5000 0.5000  6 Tc 2.62
7 Tc 0.4093 0.4093 0.2562  7 Tc 2.54-2.74
8 Tc 0.9252 0.4093 0.2562  7 Tc 2.54-2.74
9 Tc 0.4093 0.9252 0.2562  7 Tc 2.54-2.74
10 Tc 0.5907 0.5907 0.7438  7 Tc 2.54-2.74
11 Tc 0.5907 0.0748 0.7438  7 Tc 2.54-2.74
12 Tc 0.0748 0.5907 0.7438  7 Tc 2.54-2.74

(9)
A relaxed structure of Er4Sc3Tc2. Source: Alexandria via LeMat-Bulk, functional PBE.

Computed properties:
The value obtained for the calculated volume is 25.224 A^3/atom. As for the energy of formation from the pure elements: -89 meV per atom. For the total DFT energy (no corrections), the calculation gives -6.531 eV per atom.

a b c (Å): 4.1551 7.3500 8.1241
angles (deg): 108.18 104.82 90.00
With the nearest neighbours (Å) after each atom.
Element x y z (fractional)
1 Er 0.2229 0.6732 0.4458  3 Tc 2.95-3.10
2 Er 0.7771 0.3268 0.5542  3 Tc 2.95-3.10
3 Er 0.5847 0.8492 0.1693  2 Tc 3.03-3.11, 4 Sc 3.24-3.29
4 Er 0.4153 0.1508 0.8307  2 Tc 3.03-3.11, 4 Sc 3.24-3.29
5 Sc 0.0981 0.2048 0.1962  2 Tc 2.69
6 Sc 0.9019 0.7952 0.8038  2 Tc 2.69
7 Sc 0.0000 0.5000 0.0000  4 Tc 2.76, 2 Sc 3.04
8 Tc 0.3966 0.5590 0.7932  4 Sc 2.69-2.76, 2 Er 2.95
9 Tc 0.6034 0.4410 0.2068  4 Sc 2.69-2.76, 2 Er 2.95

(10)
A relaxed structure of Er4ScTc. Source: Alexandria via LeMat-Bulk, functional PBE.

Computed properties:
The value obtained for the calculated volume is 26.273 A^3/atom. As for the energy of formation from the pure elements: 1 meV per atom. For the total DFT energy (no corrections), the calculation gives -5.824 eV per atom.

a b c (Å): 3.4467 3.4467 13.2695
angles (deg): 90.00 90.00 90.00
With the nearest neighbours (Å) after each atom.
Element x y z (fractional)
1 Er 0.5000 0.5000 0.8281  4 Sc 3.34, 8 Er 3.45-3.67
2 Er 0.5000 0.5000 0.1719  4 Sc 3.34, 8 Er 3.45-3.67
3 Er 0.9999 0.9999 0.6218  4 Tc 2.92, 1 Er 3.23
4 Er 0.0001 0.0001 0.3782  4 Tc 2.92, 1 Er 3.23
5 Sc 0.0000 0.0000 0.0000  8 Er 3.34, 4 Sc 3.45
6 Tc 0.5000 0.5000 0.5000  8 Er 2.92

(11)
A relaxed structure of Er2Sc8Tc. Source: Alexandria via LeMat-Bulk, functional PBE.

Computed properties:
The value obtained for the calculated volume is 24.358 A^3/atom. As for the energy of formation from the pure elements: -21 meV per atom. For the total DFT energy (no corrections), the calculation gives -6.397 eV per atom.

a b c (Å): 5.0501 6.2448 8.8856
angles (deg): 85.94 106.51 90.00
With the nearest neighbours (Å) after each atom.
Element x y z (fractional)
1 Er 0.7765 0.6641 0.5530  9 Sc 3.24-3.45, 2 Er 3.42
2 Er 0.2235 0.3359 0.4470  9 Sc 3.24-3.45, 2 Er 3.42
3 Sc 0.4180 0.3880 0.8360  1 Tc 2.71
4 Sc 0.6442 0.1103 0.2884  1 Tc 2.60
5 Sc 0.8412 0.1608 0.6824  7 Sc 3.04-3.39, 4 Er 3.25-3.37
6 Sc 0.9698 0.7681 0.9396  2 Tc 2.97, 7 Sc 3.14-3.28
7 Sc 0.1588 0.8392 0.3176  7 Sc 3.04-3.39, 4 Er 3.25-3.37
8 Sc 0.3558 0.8897 0.7116  1 Tc 2.60
9 Sc 0.5820 0.6120 0.1640  1 Tc 2.71
10 Sc 0.0302 0.2319 0.0604  2 Tc 2.97, 7 Sc 3.14-3.28
11 Tc 0.5000 0.0000 0.0000  4 Sc 2.60-2.71

(12)
A relaxed structure of ErThScTc. Source: Alexandria via LeMat-Bulk, functional PBE.

Computed properties:
The value obtained for the calculated volume is 23.481 A^3/atom. As for the energy of formation from the pure elements: 46 meV per atom. For the total DFT energy (no corrections), the calculation gives -7.124 eV per atom.

a b c (Å): 5.1023 5.1023 5.1023
angles (deg): 60.00 60.00 60.00
With the nearest neighbours (Å) after each atom.
Element x y z (fractional)
1 Sc 0.0000 0.0000 0.0000  4 Th 3.12, 4 Er 3.12
2 Tc 0.5000 0.5000 0.5000  4 Er 3.12, 4 Th 3.12
3 Th 0.2500 0.2500 0.2500  4 Tc 3.12, 4 Sc 3.12
4 Er 0.7500 0.7500 0.7500  4 Tc 3.12, 4 Sc 3.12